NaZrCoS3, optimized geometry, DFT GGA-PBE; magnetic moment = 0.316 μB/atom; raw total energy = -36.2 eV per formula unit; space-group type = Pnma
1.0
9.684 0.000 0.000
0.000 3.642 0.000
0.000 0.000 13.111
Na Zr Co S
4 4 4 12
direct
0.227 0.250 0.000 Na
0.273 0.750 0.500 Na
0.727 0.250 0.500 Na
0.773 0.750 0.000 Na
0.021 0.750 0.253 Zr
0.479 0.250 0.753 Zr
0.521 0.750 0.247 Zr
0.979 0.250 0.747 Zr
0.232 0.750 0.774 Co
0.268 0.250 0.274 Co
0.732 0.750 0.726 Co
0.768 0.250 0.226 Co
0.048 0.750 0.879 S
0.088 0.250 0.383 S
0.231 0.250 0.671 S
0.269 0.750 0.171 S
0.412 0.750 0.883 S
0.452 0.250 0.379 S
0.548 0.750 0.621 S
0.588 0.250 0.117 S
0.731 0.250 0.829 S
0.769 0.750 0.329 S
0.912 0.750 0.617 S
0.952 0.250 0.121 S

NaCo3Sb5, optimized geometry, DFT GGA-PBE; magnetic moment = 0.159 μB/atom; raw total energy = -43.9 eV per formula unit; space-group type = P6/mmm
1.0
5.312 0.000 0.000
-2.656 4.600 0.000
0.000 0.000 8.232
Na Co Sb
1 3 5
direct
0.000 0.000 0.000 Na
0.000 0.500 0.500 Co
0.500 0.000 0.500 Co
0.500 0.500 0.500 Co
0.000 0.000 0.500 Sb
0.333 0.667 0.242 Sb
0.333 0.667 0.758 Sb
0.667 0.333 0.242 Sb
0.667 0.333 0.758 Sb

NaScCoSb, optimized geometry, DFT GGA-PBE; relative energy among the computed polymorphs = 163 meV/atom; magnetic moment = 0.334 μB/atom; raw total energy = -19.0 eV per formula unit; space-group type = F-43m
1.0
6.746 0.000 0.000
0.000 6.746 0.000
0.000 0.000 6.746
Na Sc Co Sb
4 4 4 4
direct
0.000 0.000 0.000 Na
0.000 0.500 0.500 Na
0.500 0.000 0.500 Na
0.500 0.500 0.000 Na
0.000 0.000 0.500 Sc
0.000 0.500 0.000 Sc
0.500 0.000 0.000 Sc
0.500 0.500 0.500 Sc
0.250 0.250 0.750 Co
0.250 0.750 0.250 Co
0.750 0.250 0.250 Co
0.750 0.750 0.750 Co
0.250 0.250 0.250 Sb
0.250 0.750 0.750 Sb
0.750 0.250 0.750 Sb
0.750 0.750 0.250 Sb

NaScCoSb, optimized geometry, DFT GGA-PBE; relative energy among the computed polymorphs = 0 meV/atom; magnetic moment = 0.000 μB/atom; raw total energy = -19.6 eV per formula unit; space-group type = F-43m
1.0
6.503 0.000 0.000
0.000 6.503 0.000
0.000 0.000 6.503
Na Sc Co Sb
4 4 4 4
direct
0.000 0.000 0.000 Na
0.000 0.500 0.500 Na
0.500 0.000 0.500 Na
0.500 0.500 0.000 Na
0.250 0.250 0.750 Sc
0.250 0.750 0.250 Sc
0.750 0.250 0.250 Sc
0.750 0.750 0.750 Sc
0.000 0.000 0.500 Co
0.000 0.500 0.000 Co
0.500 0.000 0.000 Co
0.500 0.500 0.500 Co
0.250 0.250 0.250 Sb
0.250 0.750 0.750 Sb
0.750 0.250 0.750 Sb
0.750 0.750 0.250 Sb